(1)
Crystalline PmGdAgHg at its relaxed geometry. Source: Alexandria via LeMat-Bulk, functional PBE-GGA.

Cell: 5.2904 5.2904 5.2904 Å, 60.00 60.00 60.00°
Closest atoms and distances in Å follow each position.
Sites, in units of the cell vectors:
1 Pm 0.0000 0.0000 0.0000  4 Hg 3.24, 4 Ag 3.24
2 Gd 0.5000 0.5000 0.5000  4 Hg 3.24, 4 Ag 3.24
3 Ag 0.2500 0.2500 0.2500  4 Gd 3.24, 4 Pm 3.24
4 Hg 0.7500 0.7500 0.7500  4 Gd 3.24, 4 Pm 3.24

Properties
Formation energy ... -37 kJ per mole of atoms
Calculated volume ... 104.70 Å³/cell
Total magnetization ... 7.43 μB per formula unit
N(E_F) ... 5.0 states/eV/cell

---

(2)
Crystalline Rb2ZnHgO at its relaxed geometry. Source: Alexandria via LeMat-Bulk, functional PBE-GGA.

Cell: 6.3496 6.3496 3.9500 Å, 90.00 90.00 90.00°
Closest atoms and distances in Å follow each position.
Sites, in units of the cell vectors:
1 Rb 0.0000 0.5000 0.0000  2 O 3.17
2 Rb 0.5000 0.0000 0.0000  2 O 3.17
3 Zn 0.0000 0.0000 0.5000  2 O 1.98
4 Hg 0.5000 0.5000 0.5000  8 Rb 3.74, 2 Hg 3.95
5 O 0.0000 0.0000 0.0000  2 Zn 1.98

Properties
Calculated volume ... 159.26 Å³/cell
Total magnetization ... 0.00 μB per formula unit
VASP energy ... -11.04 eV per cell
N(E_F) ... 2.6 states/eV/cell

---

(3)
Crystalline NiPOs at its relaxed geometry. Source: Alexandria via LeMat-Bulk, functional PBE-GGA.

Cell: 3.8283 3.8283 3.8283 Å, 60.00 60.00 60.00°
Closest atoms and distances in Å follow each position.
Sites, in units of the cell vectors:
1 Ni 0.0000 0.0000 0.0000  4 P 2.34
2 P 0.7500 0.7500 0.7500  4 Ni 2.34, 4 Os 2.34
3 Os 0.5000 0.5000 0.5000  4 P 2.34

Properties
Formation energy ... -29 kJ per mole of atoms
Calculated volume ... 39.67 Å³/cell
Total magnetization ... 0.00 μB per formula unit
N(E_F) ... 2.4 states/eV/cell

---

(4)
Crystalline Cd2HgBi at its relaxed geometry. Source: Alexandria via LeMat-Bulk, functional PBE-GGA.

Cell: 3.9192 3.9192 6.7887 Å, 90.00 90.00 90.00°
Closest atoms and distances in Å follow each position.
Sites, in units of the cell vectors:
1 Cd 0.0000 0.0000 0.2301  1 Cd 3.12, 4 Hg 3.18, 4 Bi 3.32
2 Cd 0.0000 0.0000 0.7699  1 Cd 3.12, 4 Hg 3.18, 4 Bi 3.32
3 Hg 0.5000 0.5000 0.0000  8 Cd 3.18, 2 Bi 3.39
4 Bi 0.5000 0.5000 0.5000  8 Cd 3.32, 2 Hg 3.39

Properties
Formation energy ... 8 kJ per mole of atoms
Calculated volume ... 104.28 Å³/cell
Total magnetization ... 0.00 μB per formula unit
N(E_F) ... 1.8 states/eV/cell

---

(5)
Crystalline Ac2CeSb at its relaxed geometry. Source: Alexandria via LeMat-Bulk, functional PBE-GGA.

Cell: 11.9417 11.9417 11.9417 Å, 20.22 20.22 20.22°
Closest atoms and distances in Å follow each position.
Sites, in units of the cell vectors:
1 Ac 0.1054 0.1054 0.1054  3 Sb 3.24
2 Ac 0.8946 0.8946 0.8946  3 Sb 3.24
3 Ce 0.0000 0.0000 0.0000  2 Ac 3.70
4 Sb 0.5000 0.5000 0.5000  6 Ac 3.24

Properties
Calculated volume ... 177.92 Å³/cell
Total magnetization ... 2.28 μB per formula unit
VASP energy ... -18.27 eV per cell
N(E_F) ... 11.0 states/eV/cell

---

(6)
Crystalline HoRhF at its relaxed geometry. Source: Alexandria via LeMat-Bulk, functional PBE-GGA.

Cell: 3.5768 3.5768 8.1700 Å, 100.41 100.41 86.80°
Closest atoms and distances in Å follow each position.
Sites, in units of the cell vectors:
1 Ho 0.2098 0.2098 0.2257  2 F 2.27-2.33
2 Ho 0.7902 0.7902 0.7743  2 F 2.27-2.33
3 Rh 0.2594 0.2594 0.5701  3 Rh 2.65-2.70, 4 Ho 2.76-2.95
4 Rh 0.7406 0.7406 0.4299  3 Rh 2.65-2.70, 4 Ho 2.76-2.95
5 F 0.2121 0.2121 0.9408  2 Ho 2.27-2.33
6 F 0.7879 0.7879 0.0592  2 Ho 2.27-2.33

Properties
Calculated volume ... 101.08 Å³/cell
Total magnetization ... 0.00 μB per formula unit
VASP energy ... -38.77 eV per cell
N(E_F) ... 2.1 states/eV/cell

---

(7)
Crystalline AlRu2W at its relaxed geometry. Source: Alexandria via LeMat-Bulk, functional PBE-GGA.

Cell: 4.4972 4.4972 4.9370 Å, 96.53 96.53 36.24°
Closest atoms and distances in Å follow each position.
Sites, in units of the cell vectors:
1 Al 0.0000 0.0000 0.0000  6 Ru 2.60-2.69, 2 Al 2.80, 4 W 2.84
2 Ru 0.2533 0.2533 0.7570  3 W 2.59-2.76, 3 Al 2.60-2.69, 6 Ru 2.78-2.89
3 Ru 0.7467 0.7467 0.2430  3 W 2.59-2.76, 3 Al 2.60-2.69, 6 Ru 2.78-2.89
4 W 0.5000 0.5000 0.5000  6 Ru 2.59-2.76, 2 W 2.80, 4 Al 2.84

Properties
Formation energy ... -11 kJ per mole of atoms
Calculated volume ... 58.61 Å³/cell
Total magnetization ... 0.00 μB per formula unit
N(E_F) ... 2.7 states/eV/cell

---

(8)
Crystalline NaCeCd2 at its relaxed geometry. Source: Alexandria via LeMat-Bulk, functional PBE-GGA.

Cell: 3.2267 3.2267 9.6997 Å, 90.00 90.00 90.00°
Closest atoms and distances in Å follow each position.
Sites, in units of the cell vectors:
1 Na 0.0000 0.0000 0.0000  4 Na 3.23, 8 Cd 3.31
2 Ce 0.0000 0.0000 0.5000  4 Ce 3.23, 8 Cd 3.35
3 Cd 0.5000 0.5000 0.2472  4 Cd 3.23, 4 Na 3.31, 4 Ce 3.35
4 Cd 0.5000 0.5000 0.7528  4 Cd 3.23, 4 Na 3.31, 4 Ce 3.35

Properties
Formation energy ... -10 kJ per mole of atoms
Calculated volume ... 100.99 Å³/cell
Total magnetization ... 0.57 μB per formula unit
N(E_F) ... 5.9 states/eV/cell

---

Q: The lowest N(E_F) belongs to which entry?
A: Cd2HgBi

---

Q: What is the calculated volume in the sixth record?
A: 101.08 Å³/cell